(1)
DFT (GGA-PBE) results for ReTc2W after structural relaxation.

ρ   15.50 g/cm³
Calculated total energy   -11.39 eV per atom
D(E_F)   5.00 states/eV/f.u.
Excess energy over the best structure of this formula in the dataset   0.13 eV per formula unit
Formation energy from the elements   0.15 eV/atom

a = 9.2711 Å, b = 9.2711 Å, c = 9.2711 Å
α = 17.18°, β = 17.18°, γ = 17.18°
Fractional positions:
W (0.2500, 0.2500, 0.2500)
Tc (0.4981, 0.4981, 0.4981)
Tc (0.0019, 0.0019, 0.0019)
Re (0.7500, 0.7500, 0.7500)

---

(2)
DFT (GGA-PBE) results for MgTl2S2 after structural relaxation.

ρ   5.92 g/cm³
Calculated total energy   -3.63 eV per atom
D(E_F)   0.00 states/eV/f.u.
Excess energy over the best structure of this formula in the dataset   0.00 eV per formula unit

a = 6.8398 Å, b = 8.1403 Å, c = 8.1419 Å
α = 101.41°, β = 119.55°, γ = 119.54°
Fractional positions:
Mg (0.2500, 0.2598, 0.2402)
Mg (0.7500, 0.7402, 0.7598)
Tl (0.8714, 0.3485, 0.6517)
Tl (0.3714, 0.1517, 0.8485)
Tl (0.6286, 0.8483, 0.1515)
Tl (0.1286, 0.6515, 0.3484)
S (0.2567, 0.3465, 0.5553)
S (0.7433, 0.6536, 0.4447)
S (0.7567, 0.0554, 0.8465)
S (0.2433, 0.9446, 0.1535)

---

(3)
DFT (GGA-PBE) results for MnB2N after structural relaxation.

ρ   4.75 g/cm³
Calculated total energy   -7.34 eV per atom
D(E_F)   4.03 states/eV/f.u.

a = 4.6659 Å, b = 4.6659 Å, c = 4.3999 Å
α = 57.98°, β = 57.98°, γ = 90.00°
Fractional positions:
B (0.3750, 0.4704, 0.7500)
B (0.2204, 0.6250, 0.2500)
B (0.8750, 0.7796, 0.7500)
B (0.5296, 0.1250, 0.2500)
Mn (0.0000, 0.0000, 0.0000)
Mn (0.7500, 0.2500, 0.5000)
N (0.5000, 0.5000, 0.0000)
N (0.2500, 0.7500, 0.5000)

---

(4)
DFT (GGA-PBE) results for La5PrCoHg2 after structural relaxation.

ρ   7.79 g/cm³
Calculated total energy   -4.30 eV per atom
D(E_F)   11.10 states/eV/f.u.
Formation energy from the elements   -0.17 eV/atom

a = 3.8345 Å, b = 10.4908 Å, c = 13.9672 Å
α = 90.00°, β = 90.00°, γ = 100.53°
Fractional positions:
La (0.2717, 0.5433, 0.6829)
La (0.7283, 0.4567, 0.1829)
La (0.4942, 0.9884, 0.6712)
La (0.7268, 0.4536, 0.8900)
La (0.2732, 0.5464, 0.3900)
La (0.5058, 0.0116, 0.1712)
La (0.8864, 0.7727, 0.5396)
La (0.3626, 0.7252, 0.0340)
La (0.6374, 0.2748, 0.5340)
La (0.1136, 0.2273, 0.0396)
Hg (0.1138, 0.2275, 0.3135)
Hg (0.8864, 0.7729, 0.2587)
Hg (0.8862, 0.7725, 0.8135)
Hg (0.1136, 0.2271, 0.7587)
Pr (0.5071, 0.0141, 0.8981)
Pr (0.4929, 0.9859, 0.3981)
Co (0.2382, 0.4764, 0.0360)
Co (0.7618, 0.5236, 0.5360)

---

(5)
DFT (GGA-PBE) results for Tb4Ho4Sc after structural relaxation.

ρ   8.07 g/cm³
Calculated total energy   -4.77 eV per atom
D(E_F)   13.43 states/eV/f.u.
Formation energy from the elements   0.03 eV/atom

a = 4.9598 Å, b = 7.8578 Å, c = 7.8578 Å
α = 84.28°, β = 71.60°, γ = 71.60°
Fractional positions:
Ho (0.6645, 0.6709, 0.0001)
Ho (0.3355, 0.3291, 0.9999)
Ho (0.3354, 0.0001, 0.3291)
Ho (0.6646, 0.9999, 0.6709)
Sc (0.0000, 0.0000, 0.0000)
Tb (0.0000, 0.3307, 0.6693)
Tb (0.3307, 0.6693, 0.6693)
Tb (0.0000, 0.6693, 0.3307)
Tb (0.6693, 0.3307, 0.3307)

---

(6)
DFT (GGA-PBE) results for GeTeW3 after structural relaxation.

ρ   12.08 g/cm³
Calculated total energy   -7.52 eV per atom
D(E_F)   7.12 states/eV/f.u.
Excess energy over the best structure of this formula in the dataset   0.00 eV per formula unit

a = 4.6930 Å, b = 4.6930 Å, c = 4.6930 Å
α = 90.00°, β = 90.00°, γ = 90.00°
Fractional positions:
Te (0.5000, 0.5000, 0.5000)
Ge (0.0000, 0.0000, 0.0000)
W (0.0000, 0.5000, 0.0000)
W (0.0000, 0.0000, 0.5000)
W (0.5000, 0.0000, 0.0000)

---

(7)
DFT (GGA-PBE) results for AcSmN2 after structural relaxation.

ρ   9.02 g/cm³
Calculated total energy   -7.41 eV per atom
Excess energy over the best structure of this formula in the dataset   0.73 eV per formula unit

a = 3.6637 Å, b = 3.6637 Å, c = 6.7615 Å
α = 74.28°, β = 74.28°, γ = 60.00°
Fractional positions:
N (0.0814, 0.0814, 0.7559)
N (0.2394, 0.2394, 0.2818)
Sm (0.5048, 0.5048, 0.4856)
Ac (0.6745, 0.6745, 0.9766)

---

(8)
DFT (GGA-PBE) results for Rb2AsCl4F2 after structural relaxation.

ρ   3.01 g/cm³
Calculated total energy   -3.56 eV per atom
D(E_F)   3.65 states/eV/f.u.

a = 5.9682 Å, b = 6.7673 Å, c = 6.7673 Å
α = 62.12°, β = 78.43°, γ = 78.43°
Fractional positions:
As (0.5000, 0.0000, 0.0000)
F (0.2489, 0.1388, 0.1388)
F (0.7511, 0.8612, 0.8612)
Rb (0.1871, 0.6784, 0.6784)
Rb (0.8129, 0.3216, 0.3216)
Cl (0.6866, 0.3359, 0.8387)
Cl (0.3134, 0.6641, 0.1613)
Cl (0.6866, 0.8387, 0.3359)
Cl (0.3134, 0.1613, 0.6641)